1.
SrSiTe: optimized geometry, PBE-GGA.

a = 7.419 Å, b = 7.419 Å, c = 7.419 Å
α = 90.00°, β = 90.00°, γ = 90.00°
Fractional positions:
Sr  0.000  0.000  0.000
Sr  0.000  0.500  0.500
Sr  0.500  0.000  0.500
Sr  0.500  0.500  0.000
Si  0.000  0.000  0.500
Si  0.000  0.500  0.000
Si  0.500  0.000  0.000
Si  0.500  0.500  0.500
Te  0.250  0.250  0.250
Te  0.250  0.750  0.750
Te  0.750  0.250  0.750
Te  0.750  0.750  0.250

Its crystal system is cubic. The calculation puts the total magnetization at 0.00 μB per cell. The total energy is -10.49 eV per formula unit. Its uncorrected formation energy is -81 meV per atom. Its excess energy over the best structure of this formula in the dataset is 105 kJ/mol of formula units. Its symmetry is No. 216.

***

2.
CdPI3: optimized geometry, PBE-GGA.

a = 5.900 Å, b = 5.900 Å, c = 5.900 Å
α = 90.00°, β = 90.00°, γ = 90.00°
Fractional positions:
Cd  0.000  0.000  0.000
P  0.500  0.500  0.500
I  0.000  0.000  0.500
I  0.000  0.500  0.000
I  0.500  0.000  0.000

Its crystal system is cubic. The calculation puts the total magnetization at 2.00 μB per cell. The total energy is -8.35 eV per formula unit. Its uncorrected formation energy is 526 meV per atom. Its excess energy over the best structure of this formula in the dataset is 172 kJ/mol of formula units. Its symmetry is No. 221.

***

3.
PmNd3Hg5: optimized geometry, PBE-GGA.

a = 9.352 Å, b = 9.352 Å, c = 6.675 Å
α = 90.00°, β = 90.00°, γ = 120.00°
Fractional positions:
Pm  0.000  0.000  0.000
Pm  0.000  0.000  0.500
Nd  0.000  0.371  0.250
Nd  0.000  0.629  0.750
Nd  0.371  0.000  0.250
Nd  0.371  0.371  0.750
Nd  0.629  0.000  0.750
Nd  0.629  0.629  0.250
Hg  0.000  0.298  0.750
Hg  0.000  0.702  0.250
Hg  0.298  0.000  0.750
Hg  0.298  0.298  0.250
Hg  0.333  0.667  0.000
Hg  0.333  0.667  0.500
Hg  0.667  0.333  0.000
Hg  0.667  0.333  0.500
Hg  0.702  0.000  0.250
Hg  0.702  0.702  0.750

Its crystal system is hexagonal. The calculation puts the total magnetization at 0.00 μB per cell. The total energy is -24.32 eV per formula unit. For the formation energy, the calculation gives -0.418 eV/atom. Its symmetry is No. 193.